(1)
Below is SiAsRh2 at its PBEsol-relaxed geometry, with properties calculated at the SCAN level.

Symmetry: Imm2 (44)
Raw formation energy: -0.495 eV per atom
Density of states at the Fermi level: 1.3 states/eV per cell

a b c (Å): 3.438 3.393 5.500
angles (deg): 107.97 108.21 90.00
Element x y z (fractional)
As 0.287 0.787 0.574
Rh 0.971 0.971 0.943
Rh 0.705 0.205 0.410
Si 0.537 0.537 0.073


(2)
Below is CdHgBi2Ir at its PBEsol-relaxed geometry, with properties calculated at the SCAN level.

Symmetry: P4/mmm (123)
Density of states at the Fermi level: 4.7 states/eV per cell

a b c (Å): 4.964 5.441 5.441
angles (deg): 90.00 90.00 90.00
Element x y z (fractional)
Cd 0.000 0.000 0.000
Ir 0.500 0.000 0.000
Bi 0.000 0.000 0.500
Bi 0.000 0.500 0.000
Hg 0.500 0.500 0.500


no.,M_tot (μB/f.u.),volume (Å³/cell),final energy (eV per atom)
1,0.00,57.6,-24.933
2,0.00,147.0,-64.100